Entry 1:
Density functional theory data (PBE) for crystalline CdAgP2 at its relaxed geometry.

Lattice parameters (Å, degrees): 4.593 3.684 5.078 90.00 103.17 90.00
Positions (direct):
Cd 0.000 0.000 0.000
Ag 0.500 0.000 0.500
P 0.192 0.500 0.668
P 0.808 0.500 0.332

- SG: No. 10
- Calculated formation energy: 0.1505 eV per atom


Entry 2:
Density functional theory data (PBE) for crystalline Cd3AgP at its relaxed geometry.

Lattice parameters (Å, degrees): 5.157 5.157 5.157 90.00 90.00 90.00
Positions (direct):
Cd 0.000 0.000 0.500
Cd 0.000 0.500 0.000
Cd 0.500 0.000 0.000
Ag 0.500 0.500 0.500
P 0.000 0.000 0.000

- SG: No. 221
- Calculated formation energy: 0.4148 eV per atom
- E above lowest polymorph: 0 meV per atom


Entry 3:
Density functional theory data (PBE) for crystalline PmCdAgP at its relaxed geometry.

Lattice parameters (Å, degrees): 4.979 4.979 4.979 60.00 60.00 60.00
Positions (direct):
Pm 0.000 0.000 0.000
Cd 0.500 0.500 0.500
Ag 0.750 0.750 0.750
P 0.250 0.250 0.250

- SG: No. 216
- Calculated formation energy: -0.3036 eV per atom


Entry 4:
Density functional theory data (PBE) for crystalline Rb2CdAgP at its relaxed geometry.

Lattice parameters (Å, degrees): 6.748 6.748 4.756 90.00 90.00 90.00
Positions (direct):
Rb 0.000 0.500 0.000
Rb 0.500 0.000 0.000
Cd 0.000 0.000 0.500
Ag 0.500 0.500 0.500
P 0.000 0.000 0.000

- SG: No. 123
- Calculated formation energy: 0.0434 eV per atom
- E above lowest polymorph: 69 meV per atom


Entry 5:
Density functional theory data (PBE) for crystalline Rb2CdAgP at its relaxed geometry.

Lattice parameters (Å, degrees): 6.694 6.694 4.702 90.00 90.00 90.00
Positions (direct):
Rb 0.000 0.500 0.000
Rb 0.500 0.000 0.000
Cd 0.000 0.000 0.500
Ag 0.500 0.500 0.500
P 0.500 0.500 0.000

- SG: No. 123
- Calculated formation energy: -0.0260 eV per atom
- E above lowest polymorph: 0 meV per atom


Entry 6:
Density functional theory data (PBE) for crystalline CdAgPS2 at its relaxed geometry.

Lattice parameters (Å, degrees): 4.934 4.934 4.722 90.00 90.00 90.00
Positions (direct):
Cd 0.000 0.000 0.000
Ag 0.500 0.500 0.500
P 0.500 0.500 0.000
S 0.000 0.500 0.500
S 0.500 0.000 0.500

- SG: No. 123
- Energy relative to the elements, uncorrected: 800 meV per atom
- E above lowest polymorph: 0 meV per atom


Entry 7:
Density functional theory data (PBE) for crystalline CdAgPS2 at its relaxed geometry.

Lattice parameters (Å, degrees): 5.055 5.055 4.958 90.00 90.00 90.00
Positions (direct):
Cd 0.000 0.000 0.000
Ag 0.500 0.500 0.500
P 0.000 0.000 0.500
S 0.000 0.500 0.000
S 0.500 0.000 0.000

- SG: No. 123
- Energy relative to the elements, uncorrected: 968 meV per atom
- E above lowest polymorph: 168 meV per atom


Entry 8:
Density functional theory data (PBE) for crystalline TaCdAg2P at its relaxed geometry.

Lattice parameters (Å, degrees): 4.671 4.671 4.750 90.00 90.00 90.00
Positions (direct):
Ta 0.000 0.000 0.000
Cd 0.500 0.500 0.000
Ag 0.000 0.500 0.500
Ag 0.500 0.000 0.500
P 0.000 0.000 0.500

- SG: No. 123
- Calculated formation energy: 0.3892 eV per atom


Entry 9:
Density functional theory data (PBE) for crystalline PaCd2Ag at its relaxed geometry.

Lattice parameters (Å, degrees): 3.093 3.093 9.059 90.00 90.00 90.00
Positions (direct):
Pa 0.000 0.000 0.000
Cd 0.500 0.500 0.278
Cd 0.500 0.500 0.722
Ag 0.000 0.000 0.500

- SG: No. 123
- Calculated formation energy: 0.0382 eV per atom
- E above lowest polymorph: 27 meV per atom


Entry 10:
Density functional theory data (PBE) for crystalline PaCd2Ag at its relaxed geometry.

Lattice parameters (Å, degrees): 11.645 11.645 11.645 14.93 14.93 14.93
Positions (direct):
Pa 0.000 0.000 0.000
Cd 0.095 0.095 0.095
Cd 0.905 0.905 0.905
Ag 0.500 0.500 0.500

- SG: No. 166
- Calculated formation energy: 0.2259 eV per atom
- E above lowest polymorph: 215 meV per atom


Entry 11:
Density functional theory data (PBE) for crystalline Pa2Cd2Ag at its relaxed geometry.

Lattice parameters (Å, degrees): 12.110 12.110 12.110 165.45 165.45 20.63
Positions (direct):
Pa 0.197 0.197 0.000
Pa 0.803 0.803 0.000
Cd 0.414 0.414 0.000
Cd 0.586 0.586 0.000
Ag 0.000 0.000 0.000

- SG: No. 139
- Calculated formation energy: 0.0213 eV per atom


Entry 12:
Density functional theory data (PBE) for crystalline PaCd6Ag at its relaxed geometry.

Lattice parameters (Å, degrees): 8.327 8.327 8.327 42.05 42.05 42.05
Positions (direct):
Pa 0.000 0.000 0.000
Cd 0.063 0.571 0.571
Cd 0.429 0.429 0.937
Cd 0.429 0.937 0.429
Cd 0.571 0.063 0.571
Cd 0.571 0.571 0.063
Cd 0.937 0.429 0.429
Ag 0.500 0.500 0.500

- SG: No. 166
- Calculated formation energy: 0.3388 eV per atom


Entry 13:
Density functional theory data (PBE) for crystalline PaCd2Ag at its relaxed geometry.

Lattice parameters (Å, degrees): 3.093 3.093 10.698 97.89 97.89 60.11
Positions (direct):
Pa 0.000 0.000 0.000
Cd 0.576 0.576 0.729
Cd 0.755 0.755 0.270
Ag 0.165 0.165 0.500

- SG: No. 8
- Calculated formation energy: 0.0109 eV per atom
- E above lowest polymorph: 0 meV per atom


Entry 14:
Density functional theory data (PBE) for crystalline PaCd2Ag at its relaxed geometry.

Lattice parameters (Å, degrees): 5.059 5.059 5.059 60.00 60.00 60.00
Positions (direct):
Pa 0.000 0.000 0.000
Cd 0.250 0.250 0.250
Cd 0.750 0.750 0.750
Ag 0.500 0.500 0.500

- SG: No. 225
- Calculated formation energy: 0.2275 eV per atom
- E above lowest polymorph: 217 meV per atom


Entry 15:
Density functional theory data (PBE) for crystalline PaCdAgPd at its relaxed geometry.

Lattice parameters (Å, degrees): 4.904 4.904 4.904 60.00 60.00 60.00
Positions (direct):
Pa 0.000 0.000 0.000
Cd 0.500 0.500 0.500
Ag 0.750 0.750 0.750
Pd 0.250 0.250 0.250

- SG: No. 216
- Calculated formation energy: -0.1405 eV per atom


Entry 16:
Density functional theory data (PBE) for crystalline PaCdAgPt at its relaxed geometry.

Lattice parameters (Å, degrees): 4.900 4.900 4.900 60.00 60.00 60.00
Positions (direct):
Pa 0.000 0.000 0.000
Cd 0.500 0.500 0.500
Ag 0.250 0.250 0.250
Pt 0.750 0.750 0.750

- SG: No. 216
- Calculated formation energy: -0.3096 eV per atom


Entry 17:
Density functional theory data (PBE) for crystalline PaTlCdAg at its relaxed geometry.

Lattice parameters (Å, degrees): 5.124 5.124 5.124 60.00 60.00 60.00
Positions (direct):
Pa 0.000 0.000 0.000
Tl 0.750 0.750 0.750
Cd 0.500 0.500 0.500
Ag 0.250 0.250 0.250

- SG: No. 216
- Calculated formation energy: 0.1893 eV per atom


Entry 18:
Density functional theory data (PBE) for crystalline CdAg2Pb at its relaxed geometry.

Lattice parameters (Å, degrees): 6.411 6.411 6.411 102.55 102.55 124.42
Positions (direct):
Cd 0.000 0.000 0.000
Cd 0.750 0.250 0.500
Ag 0.110 0.125 0.485
Ag 0.375 0.890 0.015
Ag 0.640 0.625 0.515
Ag 0.875 0.360 0.985
Pb 0.250 0.750 0.500
Pb 0.500 0.500 0.000

- SG: No. 122
- Calculated formation energy: 0.2061 eV per atom


Entry 19:
Density functional theory data (PBE) for crystalline CdAg4Pb at its relaxed geometry.

Lattice parameters (Å, degrees): 5.631 5.631 5.631 60.00 60.00 60.00
Positions (direct):
Cd 0.000 0.000 0.000
Ag 0.375 0.375 0.375
Ag 0.375 0.375 0.876
Ag 0.375 0.876 0.375
Ag 0.876 0.375 0.375
Pb 0.750 0.750 0.750

- SG: No. 216
- Calculated formation energy: 0.0634 eV per atom


Entry 20:
Density functional theory data (PBE) for crystalline CdAg2Pb at its relaxed geometry.

Lattice parameters (Å, degrees): 5.488 5.488 5.488 132.72 132.72 69.09
Positions (direct):
Cd 0.000 0.000 0.000
Ag 0.250 0.750 0.500
Ag 0.500 0.500 0.000
Pb 0.750 0.250 0.500

- SG: No. 119
- Calculated formation energy: 0.0749 eV per atom


Entry 21:
Density functional theory data (PBE) for crystalline CdAgPb2 at its relaxed geometry.

Lattice parameters (Å, degrees): 3.382 3.382 8.951 90.00 90.00 90.00
Positions (direct):
Cd 0.000 0.000 0.000
Ag 0.500 0.500 0.808
Pb 0.000 0.000 0.576
Pb 0.500 0.500 0.261

- SG: No. 99
- Calculated formation energy: 0.0173 eV per atom


Entry 22:
Density functional theory data (PBE) for crystalline CdAgPb2 at its relaxed geometry.

Lattice parameters (Å, degrees): 4.535 4.757 4.802 90.00 90.00 90.00
Positions (direct):
Cd 0.000 0.000 0.000
Ag 0.000 0.500 0.500
Pb 0.500 0.000 0.500
Pb 0.500 0.500 0.000

- SG: No. 47
- Calculated formation energy: 0.0951 eV per atom


Entry 23:
Density functional theory data (PBE) for crystalline CdAgPb2 at its relaxed geometry.

Lattice parameters (Å, degrees): 5.716 5.716 5.716 131.02 131.02 71.79
Positions (direct):
Cd 0.000 0.000 0.000
Ag 0.750 0.250 0.500
Pb 0.250 0.750 0.500
Pb 0.500 0.500 0.000

- SG: No. 119
- Calculated formation energy: 0.0987 eV per atom


Entry 24:
Density functional theory data (PBE) for crystalline CdAgPb2 at its relaxed geometry.

Lattice parameters (Å, degrees): 3.382 3.382 9.107 90.00 90.00 90.00
Positions (direct):
Cd 0.000 0.000 0.000
Ag 0.000 0.000 0.500
Pb 0.500 0.500 0.273
Pb 0.500 0.500 0.727

- SG: No. 123
- Calculated formation energy: 0.0760 eV per atom


Entry 25:
Density functional theory data (PBE) for crystalline CdAgPb2 at its relaxed geometry.

Lattice parameters (Å, degrees): 6.726 6.726 6.726 102.72 102.72 124.02
Positions (direct):
Cd 0.000 0.000 0.000
Cd 0.750 0.250 0.500
Ag 0.250 0.750 0.500
Ag 0.500 0.500 0.000
Pb 0.150 0.125 0.525
Pb 0.375 0.850 0.975
Pb 0.600 0.625 0.475
Pb 0.875 0.400 0.025

- SG: No. 122
- Calculated formation energy: 0.1851 eV per atom


Entry 26:
Density functional theory data (PBE) for crystalline Cd3AgPb at its relaxed geometry.

Lattice parameters (Å, degrees): 5.247 5.247 5.247 90.00 90.00 90.00
Positions (direct):
Cd 0.000 0.000 0.500
Cd 0.000 0.500 0.000
Cd 0.500 0.000 0.000
Ag 0.000 0.000 0.000
Pb 0.500 0.500 0.500

- SG: No. 221
- Calculated formation energy: 0.2638 eV per atom
- E above lowest polymorph: 235 meV per atom


Entry 27:
Density functional theory data (PBE) for crystalline CdAg2Pb at its relaxed geometry.

Lattice parameters (Å, degrees): 5.354 5.354 5.118 104.19 104.19 38.91
Positions (direct):
Cd 0.000 0.000 0.000
Ag 0.255 0.255 0.799
Ag 0.521 0.521 0.551
Pb 0.768 0.768 0.312

- SG: No. 8
- Calculated formation energy: 0.0655 eV per atom


Entry 28:
Density functional theory data (PBE) for crystalline Cd3AgPb at its relaxed geometry.

Lattice parameters (Å, degrees): 7.070 7.070 5.853 90.00 90.00 120.00
Positions (direct):
Cd 0.195 0.390 0.250
Cd 0.195 0.805 0.250
Cd 0.390 0.195 0.750
Cd 0.610 0.805 0.250
Cd 0.805 0.195 0.750
Cd 0.805 0.610 0.750
Ag 0.000 0.000 0.000
Ag 0.000 0.000 0.500
Pb 0.333 0.667 0.750
Pb 0.667 0.333 0.250

- SG: No. 194
- Calculated formation energy: 0.1010 eV per atom
- E above lowest polymorph: 72 meV per atom


For reference, density of states at the Fermi level by record: 1.76, 2.68, 2.68, 0.31, 1.74, 4.18, 4.75, 2.06, 4.90, 3.97, 7.47, 9.25, 3.98, 5.59, 6.46, 5.69, 5.68, 2.79, 2.25, 0.86, 0.96, 1.88, 1.80, 1.48, 3.92, 2.33, 1.26, 4.45 states/eV per cell.